The following is a PBE-GGA calculation of a relaxed structure of Na2DyTmSe4, from Alexandria.

Lattice parameters (Å, degrees): 7.1374 4.1210 7.3959 90.00 108.75 90.00
With the nearest neighbours (Å) after each atom.
Space group P2/m (No. 10)
Unique sites:
1 Na 0.0000 0.0000 0.0000 (multiplicity 1)  6 Se 3.06
2 Na 0.5000 0.5000 0.0000 (multiplicity 1)  6 Se 3.03-3.04
3 Dy 0.0000 0.5000 0.5000 (multiplicity 1)  6 Se 2.88
4 Tm 0.5000 0.0000 0.5000 (multiplicity 1)  6 Se 2.85
5 Se 0.2456 0.0000 0.7287 (multiplicity 2)  1 Tm 2.85, 2 Dy 2.88, 3 Na 3.04-3.06
6 Se 0.2603 0.5000 0.2727 (multiplicity 2)  2 Tm 2.85, 1 Dy 2.88, 3 Na 3.03-3.06

Output
* raw total energy: -4.91 eV per atom
* volume: 25.75 A^3/atom
* E_form (uncorrected): -1.70 eV per atom